1.
Below is a crystal of LiCr2Cu relaxed with PBEsol, with properties calculated at the meta-GGA SCAN level.

a b c (Å): 3.2546 3.2546 8.3406
angles (deg): 90.00 90.00 90.00
Space group I4/mmm (No. 139)
Unique sites:
Li1 0.0000 0.0000 0.0000 (multiplicity 2)
Cr1 0.0000 0.5000 0.2500 (multiplicity 4)
Cu1 0.0000 0.0000 0.5000 (multiplicity 2)

## Properties
Energy of formation from the pure elements, eV/atom: 0.429

=====

2.
Below is a crystal of LiCr2Cu relaxed with PBEsol, with properties calculated at the meta-GGA SCAN level.

a b c (Å): 2.3000 4.2322 4.5956
angles (deg): 90.00 90.00 90.00
Space group Pmmm (No. 47)
Unique sites:
Li1 0.0000 0.0000 0.0000 (multiplicity 1)
Cr1 0.5000 0.5000 0.2515 (multiplicity 2)
Cu1 0.0000 0.0000 0.5000 (multiplicity 1)

## Properties
Energy of formation from the pure elements, eV/atom: 0.440

=====

3.
Below is a crystal of LiCr2Cu relaxed with PBEsol, with properties calculated at the meta-GGA SCAN level.

a b c (Å): 2.7994 3.9110 8.5211
angles (deg): 90.00 90.00 90.00
Space group Cmm2 (No. 35)
Unique sites:
Li1 0.0000 0.0000 0.0000 (multiplicity 2)
Cr1 0.0000 0.0000 0.5032 (multiplicity 2)
Cr2 0.0000 0.5000 0.2722 (multiplicity 2)
Cu1 0.0000 0.5000 0.7495 (multiplicity 2)

## Properties
Energy of formation from the pure elements, eV/atom: 0.236

=====

4.
Below is a crystal of Li4Mn3Cr3Cu2O16 relaxed with PBEsol, with properties calculated at the meta-GGA SCAN level.

a b c (Å): 9.8757 5.6412 9.4918
angles (deg): 90.00 91.91 90.00
Space group Cm (No. 8)
Unique sites:
Li1 0.0000 0.0000 0.0000 (multiplicity 2)
Li2 0.0115 0.0000 0.4989 (multiplicity 2)
Li3 0.1620 0.5000 0.1003 (multiplicity 2)
Li4 0.3217 0.0000 0.6027 (multiplicity 2)
Mn1 0.0769 0.2544 0.7811 (multiplicity 4)
Mn2 0.1693 0.0000 0.2808 (multiplicity 2)
Cr1 0.3253 0.5000 0.7858 (multiplicity 2)
Cr2 0.4165 0.2422 0.2844 (multiplicity 4)
Cu1 0.1674 0.5000 0.5033 (multiplicity 2)
Cu2 0.3287 0.0000 0.0018 (multiplicity 2)
O1 0.0036 0.5000 0.6722 (multiplicity 2)
O2 0.0841 0.2426 0.3891 (multiplicity 4)
O3 0.1538 0.0000 0.8905 (multiplicity 2)
O4 0.1592 0.5000 0.8904 (multiplicity 2)
O5 0.2284 0.2766 0.6669 (multiplicity 4)
O6 0.2557 0.2234 0.1682 (multiplicity 4)
O7 0.3322 0.0000 0.3940 (multiplicity 2)
O8 0.3494 0.5000 0.3851 (multiplicity 2)
O9 0.4150 0.2629 0.8887 (multiplicity 4)
O10 0.4796 0.0000 0.1643 (multiplicity 2)
O11 0.4912 0.5000 0.6825 (multiplicity 2)
O12 0.4993 0.5000 0.1845 (multiplicity 2)

=====

| no. | spin magnetization (Bohr magnetons per cell) | VASP energy (Ry/atom) |
| --- | --- | --- |
| 1 | 0.000 | -0.9673 |
| 2 | 0.000 | -0.9665 |
| 3 | 0.000 | -0.9814 |
| 4 | 26.000 | -0.8045 |